Record 1
Density functional theory data (PBE) for a geometry-optimized Zn2CoAsPb structure.

extended XYZ file:
```
5
Lattice="5.103 0.000 0.000 0.000 5.103 0.000 0.000 0.000 5.723" Properties=species:S:1:pos:R:3 pbc="T T T"
Zn 0.000 2.551 0.000
Zn 2.551 0.000 0.000
Co 0.000 0.000 2.861
As 2.551 2.551 2.861
Pb 2.551 2.551 0.000
```

Its mass density is 5.3 g cm⁻³. Its total magnetization is 2.27 μB per cell. The value obtained for the formation energy from the elements is 1.327 eV/atom. The calculation puts the density of states at the Fermi level at 3.567 states/eV/f.u. Its calculated total energy is -2.2755 eV per atom.

Record 2
Density functional theory data (PBE) for a geometry-optimized U2TcAs structure.

extended XYZ file:
```
4
Lattice="2.245 1.296 4.793 -2.245 1.296 4.793 0.000 -2.592 4.793" Properties=species:S:1:pos:R:3 pbc="T T T"
U 0.000 0.000 3.507
U 0.000 0.000 10.872
Tc 0.000 0.000 7.190
As 0.000 0.000 0.000
```

Its mass density is 12.9 g cm⁻³. Its total magnetization is 3.93 μB per cell. The value obtained for the formation energy from the elements is -0.025 eV/atom. The calculation puts the density of states at the Fermi level at 9.184 states/eV/f.u. The energy above the lowest structure with this stoichiometry is 277 meV/atom. Its calculated total energy is -9.4229 eV per atom.